CoPdSO | the Open Quantum Materials Database | GGA+U | optimized geometry; energy above the most stable polymorph in this dataset = 488 meV per atom
1.0
3.764 0.000 0.000
0.000 3.764 0.000
0.000 0.000 7.012
Pd Co O S
2 2 2 2
Direct
0.250 0.250 0.732 Pd
0.750 0.750 0.268 Pd
0.250 0.750 0.000 Co
0.750 0.250 0.000 Co
0.750 0.750 0.619 O
0.250 0.250 0.381 O
0.750 0.750 0.839 S
0.250 0.250 0.161 S